# DyCd6Hg12 (PBE-GGA, optimized geometry)
data_DyCd6Hg12
_symmetry_space_group_name_H-M 'R -3'
_symmetry_Int_Tables_number 148
_symmetry_space_group_name_Hall '-R 3'
_cell_length_a 13.4488
_cell_length_b 13.4488
_cell_length_c 9.4715
_cell_angle_alpha 90.00
_cell_angle_beta 90.00
_cell_angle_gamma 120.00
loop_
_atom_site_label
_atom_site_type_symbol
_atom_site_fract_x
_atom_site_fract_y
_atom_site_fract_z
_atom_site_occupancy
Dy1 Dy 0.0000 0.0000 0.0000 1
Cd1 Cd 0.0212 0.8740 0.7150 1
Hg1 Hg 0.0494 0.2511 0.9520 1
Hg2 Hg 0.0532 0.7902 0.4264 1
# formation energy from the elements	-0.865	eV per formula unit
# total DFT energy (no corrections)	-0.77	eV/atom